Entry 1:
Crystalline BeReI2Cl at its relaxed geometry. Source: Alexandria, functional GGA-PBE.

Cell and atoms, written as POSCAR:
```
BeReI2Cl
1.0
6.8876 0.0000 0.0000
0.0000 6.8876 0.0000
0.0000 0.0000 3.6053
Be Re I Cl
1 1 2 1
direct
0.0000 0.0000 0.0000
0.5000 0.5000 0.0000
0.0000 0.5000 0.5000
0.5000 0.0000 0.5000
0.0000 0.0000 0.5000
```

Output
- energy relative to the elements, uncorrected (eV/atom) = 1.41
- spin magnetization (μB/f.u.) = 5.1
- D(E_F) (states/eV per cell) = 3.9



Entry 2:
Crystalline Tl15Bi4Sb at its relaxed geometry. Source: Alexandria, functional GGA-PBE.

Cell and atoms, written as POSCAR:
```
Tl15Bi4Sb
1.0
4.9862 0.0000 0.0000
0.0000 4.9862 0.0000
0.0000 0.0000 25.2375
Tl Bi Sb
15 4 1
direct
0.0000 0.0000 0.0000
0.0000 0.0000 0.1984
0.0000 0.0000 0.3995
0.0000 0.0000 0.6005
0.0000 0.0000 0.8016
0.0000 0.5000 0.0978
0.0000 0.5000 0.2992
0.0000 0.5000 0.5000
0.0000 0.5000 0.7008
0.0000 0.5000 0.9022
0.5000 0.0000 0.0978
0.5000 0.0000 0.2992
0.5000 0.0000 0.5000
0.5000 0.0000 0.7008
0.5000 0.0000 0.9022
0.5000 0.5000 0.1995
0.5000 0.5000 0.3999
0.5000 0.5000 0.6001
0.5000 0.5000 0.8005
0.5000 0.5000 0.0000
```

Output
- energy relative to the elements, uncorrected (eV/atom) = -0.02
- spin magnetization (μB/f.u.) = 0.0
- D(E_F) (states/eV per cell) = 10.1



Entry 3:
Crystalline Sm8HIr3Br4 at its relaxed geometry. Source: Alexandria, functional GGA-PBE.

Cell and atoms, written as POSCAR:
```
Sm8HIr3Br4
1.0
4.0582 2.3430 7.7106
-4.0582 2.3430 7.7106
0.0000 -4.6860 7.7106
Sm H Ir Br
8 1 3 4
direct
0.2312 0.7312 0.7312
0.2321 0.2321 0.2321
0.2688 0.2688 0.7688
0.2688 0.7688 0.2688
0.7312 0.2312 0.7312
0.7312 0.7312 0.2312
0.7679 0.7679 0.7679
0.7688 0.2688 0.2688
0.5000 0.5000 0.5000
0.0000 0.0000 0.5000
0.0000 0.5000 0.0000
0.5000 0.0000 0.0000
0.0000 0.0000 0.0000
0.0000 0.5000 0.5000
0.5000 0.0000 0.5000
0.5000 0.5000 0.0000
```

Output
- E_tot (eV per atom) = -5.643
- spin magnetization (μB/f.u.) = 0.0
- D(E_F) (states/eV per cell) = 7.3